Density functional theory data (PBE with a Hubbard U) for a relaxed structure of NiAsF.

Values from the calculation:
Calculated density, g/cm3: 5.50
Final energy, Ry per atom: -0.269
M_tot, μB/f.u.: 1.1

Unit cell a=4.9319 b=7.1870 c=7.0486 alpha=132.42 beta=90.00 gamma=90.00
Closest atoms and distances in Å follow each position.
Sites, in units of the cell vectors:
1 As 0.0007 0.2757 0.8857  3 Ni 2.46-2.59
2 As 0.0007 0.7757 0.3857  3 Ni 2.46-2.59
3 As 0.5007 0.2243 0.6143  3 Ni 2.46-2.59
4 As 0.5007 0.7243 0.1143  3 Ni 2.46-2.59
5 F 0.0005 0.5919 0.6647  2 Ni 1.92-1.94
6 F 0.0005 0.0918 0.1647  2 Ni 1.92-1.94
7 F 0.5005 0.9082 0.8353  2 Ni 1.92-1.94
8 F 0.5005 0.4081 0.3353  2 Ni 1.92-1.94
9 Ni 0.0007 0.2455 0.5168  2 F 1.92-1.94
10 Ni 0.5007 0.7545 0.4832  2 F 1.92-1.94
11 Ni 0.5007 0.2544 0.9832  2 F 1.92-1.94
12 Ni 0.0007 0.7456 0.0168  2 F 1.92-1.94